## NbCrMoO6 (PBE+U)

Data for an optimized crystal structure of NbCrMoO6.

```
NbCrMoO6
1.0
5.106 0.000 0.000
-2.553 4.422 0.000
0.000 0.000 9.176
Nb Cr Mo O
2 2 2 12
direct
0.667 0.333 0.250 Nb
0.333 0.667 0.750 Nb
0.333 0.667 0.250 Cr
0.667 0.333 0.750 Cr
0.000 0.000 0.000 Mo
0.000 0.000 0.500 Mo
0.668 0.666 0.131 O
0.998 0.332 0.131 O
0.332 0.998 0.631 O
0.002 0.668 0.869 O
0.334 0.332 0.369 O
0.998 0.666 0.369 O
0.666 0.998 0.869 O
0.668 0.002 0.369 O
0.002 0.334 0.631 O
0.334 0.002 0.131 O
0.666 0.668 0.631 O
0.332 0.334 0.869 O
```

Properties
- uncorrected energy (eV per atom) = -8.1044
- symmetry = P-31c